1.
# CaLa2BiO6

A geometry-optimized CaLa2BiO6 structure (PBE-GGA, Alexandria).

Cell: 6.237 6.237 6.237 Å, 58.41 58.41 58.41°
Sites, in units of the cell vectors:
Ca 0.000 0.000 0.000
La 0.276 0.276 0.276
La 0.776 0.776 0.776
Bi 0.495 0.495 0.495
O 0.123 0.686 0.378
O 0.197 0.613 0.868
O 0.378 0.123 0.686
O 0.613 0.868 0.197
O 0.686 0.378 0.123
O 0.868 0.197 0.613

Raw formation energy ... -26.1 eV/f.u.
Total magnetic moment ... 1.0 μB/f.u.

***

2.
# K4P

A geometry-optimized K4P structure (PBE-GGA, Alexandria).

Cell: 6.452 6.452 6.452 Å, 90.00 90.00 90.00°
Sites, in units of the cell vectors:
K 0.000 0.000 0.000
K 0.000 0.500 0.500
K 0.500 0.000 0.500
K 0.500 0.500 0.000
P 0.500 0.500 0.500

DFT formation energy ... -0.057 eV/atom
Total magnetic moment ... 0.2 μB/f.u.

***

3.
# Y6ErTm12

A geometry-optimized Y6ErTm12 structure (PBE-GGA, Alexandria).

Cell: 8.597 8.597 8.597 Å, 98.57 98.57 98.57°
Sites, in units of the cell vectors:
Y 0.158 0.602 0.602
Y 0.398 0.398 0.842
Y 0.398 0.842 0.398
Y 0.602 0.158 0.602
Y 0.602 0.602 0.158
Y 0.842 0.398 0.398
Er 0.500 0.500 0.500
Tm 0.000 0.256 0.744
Tm 0.000 0.744 0.256
Tm 0.146 0.146 0.419
Tm 0.146 0.419 0.146
Tm 0.256 0.000 0.744
Tm 0.256 0.744 0.000
Tm 0.419 0.146 0.146
Tm 0.581 0.854 0.854
Tm 0.744 0.000 0.256
Tm 0.744 0.256 0.000
Tm 0.854 0.581 0.854
Tm 0.854 0.854 0.581

DFT formation energy ... 0.225 eV/atom
Total magnetic moment ... 0.0 μB/f.u.

***

Q: total magnetic moment of number 1 (CaLa2BiO6)?
A: 1.0 μB/f.u.

***

Q: The highest total magnetic moment belongs to which entry?
A: CaLa2BiO6

***

Q: Which of these has the lowest total magnetic moment?
A: Y6ErTm12